WSN2O | PBE with a Hubbard U | relaxed

Lattice parameters (Å, degrees): 3.8201 3.8201 3.6578 90.00 90.00 90.00
Sites, in units of the cell vectors:
1 W 0.0000 0.0000 0.0000
2 S 0.5000 0.5000 0.0000
3 N 0.0000 0.5000 0.5000
4 N 0.5000 0.0000 0.5000
5 O 0.5000 0.5000 0.5000

Values from the calculation:
**VASP energy**: -4.807 eV per atom
**Fermi-level density of states**: 0.526 states/eV per cell
**Theoretical density**: 8086 kg/m3
**Total magnetic moment**: 0.28 μB/atom
**Symmetry**: P4/mmm, No. 123
**V**: 10.68 Å³/atom